Density functional theory data (PBE) for a relaxed CaSi2HgPd crystal.

a b c (Å): 4.904 5.630 4.904
angles (deg): 90.00 90.00 90.00
Element x y z (fractional)
1 Ca 0.000 0.500 0.000
2 Si 0.000 0.000 0.500
3 Si 0.500 0.000 0.000
4 Hg 0.000 0.000 0.000
5 Pd 0.500 0.500 0.500

Summary:
As for the space group: P4/mmm (123). As for the uncorrected formation energy: 0.848 eV per atom. Its crystal system is tetragonal. The volume comes out at 135.4 Å³/cell. For the density of states at the Fermi level, the calculation gives 0.6261 states/eV per atom.